No. 1
## MoP4O12 (GGA-PBEsol)

Data for MoP4O12 after structural relaxation.

Its final energy is -7.754 eV per atom. The formation energy without anion corrections comes out at -1994 meV per atom. The crystal system is monoclinic.

abc: 7.366 7.366 9.785
angles: 100.45 107.37 111.25
Element x y z (fractional)
Mo 0.801 0.051 0.750
Mo 0.199 0.949 0.250
P 0.734 0.260 0.474
P 0.496 0.721 0.184
P 0.504 0.279 0.816
P 0.266 0.740 0.526
P 0.285 0.260 0.026
P 0.963 0.688 0.684
P 0.037 0.312 0.316
P 0.715 0.740 0.974
O 0.101 0.245 0.897
O 0.406 0.476 0.153
O 0.594 0.524 0.847
O 0.103 0.141 0.336
O 0.788 0.497 0.533
O 0.316 0.170 0.674
O 0.537 0.746 0.033
O 0.004 0.358 0.174
O 0.243 0.098 0.100
O 0.463 0.254 0.967
O 0.498 0.142 0.400
O 0.899 0.755 0.103
O 0.897 0.859 0.664
O 0.823 0.253 0.347
O 0.305 0.767 0.164
O 0.695 0.233 0.836
O 0.996 0.642 0.826
O 0.684 0.830 0.326
O 0.151 0.796 0.397
O 0.177 0.747 0.653
O 0.502 0.858 0.600
O 0.212 0.503 0.467
O 0.849 0.204 0.603
O 0.757 0.902 0.900

***

No. 2
## Mo3P3O16 (GGA-PBEsol)

Data for Mo3P3O16 after structural relaxation.

Its final energy is -8.261 eV per atom. The formation energy without anion corrections comes out at -2049 meV per atom. The crystal system is triclinic.

abc: 6.410 7.768 12.631
angles: 80.51 77.00 81.35
Element x y z (fractional)
Mo 0.968 0.808 0.843
Mo 0.799 0.788 0.472
Mo 0.594 0.252 0.842
Mo 0.406 0.748 0.158
Mo 0.201 0.212 0.528
Mo 0.032 0.192 0.157
P 0.054 0.487 0.315
P 0.946 0.513 0.685
P 0.559 0.152 0.111
P 0.313 0.848 0.422
P 0.687 0.152 0.578
P 0.441 0.848 0.889
O 0.435 0.046 0.894
O 0.829 0.392 0.784
O 0.870 0.029 0.843
O 0.890 0.239 0.519
O 0.663 0.768 0.834
O 0.793 0.601 0.610
O 0.065 0.281 0.026
O 0.171 0.608 0.216
O 0.130 0.971 0.157
O 0.110 0.761 0.481
O 0.337 0.232 0.166
O 0.207 0.399 0.390
O 0.138 0.399 0.622
O 0.042 0.647 0.732
O 0.167 0.043 0.629
O 0.272 0.049 0.413
O 0.370 0.755 0.007
O 0.389 0.799 0.306
O 0.862 0.601 0.378
O 0.613 0.592 0.155
O 0.509 0.225 0.513
O 0.565 0.954 0.106
O 0.274 0.826 0.823
O 0.491 0.775 0.487
O 0.387 0.408 0.845
O 0.726 0.174 0.177
O 0.611 0.201 0.694
O 0.630 0.245 0.993
O 0.728 0.951 0.587
O 0.833 0.957 0.371
O 0.958 0.353 0.268
O 0.935 0.719 0.974

***

No. 3
## MoP4O13 (GGA-PBEsol)

Data for MoP4O13 after structural relaxation.

Its final energy is -7.668 eV per atom. The formation energy without anion corrections comes out at -1936 meV per atom. The crystal system is orthorhombic.

abc: 7.071 8.175 16.605
angles: 90.00 90.00 90.00
Element x y z (fractional)
Mo 0.757 0.760 0.773
Mo 0.743 0.240 0.273
Mo 0.257 0.740 0.227
Mo 0.243 0.260 0.727
P 0.888 0.399 0.841
P 0.890 0.878 0.339
P 0.612 0.601 0.341
P 0.932 0.389 0.580
P 0.084 0.331 0.416
P 0.068 0.889 0.920
P 0.110 0.378 0.161
P 0.112 0.899 0.659
P 0.388 0.101 0.159
P 0.390 0.622 0.661
P 0.916 0.831 0.084
P 0.416 0.669 0.916
P 0.584 0.169 0.584
P 0.568 0.611 0.080
P 0.610 0.122 0.839
P 0.432 0.111 0.420
O 0.944 0.808 0.852
O 0.994 0.289 0.502
O 0.891 0.922 0.424
O 0.920 0.309 0.197
O 0.006 0.789 0.998
O 0.056 0.308 0.648
O 0.109 0.422 0.076
O 0.080 0.809 0.303
O 0.059 0.067 0.921
O 0.079 0.325 0.807
O 0.127 0.947 0.575
O 0.082 0.788 0.142
O 0.152 0.040 0.722
O 0.168 0.492 0.405
O 0.163 0.521 0.221
O 0.223 0.178 0.403
O 0.248 0.238 0.192
O 0.252 0.762 0.692
O 0.873 0.447 0.925
O 0.337 0.479 0.721
O 0.332 0.508 0.905
O 0.348 0.960 0.222
O 0.418 0.212 0.642
O 0.373 0.053 0.075
O 0.421 0.675 0.307
O 0.441 0.933 0.421
O 0.420 0.191 0.803
O 0.391 0.578 0.576
O 0.444 0.692 0.148
O 0.494 0.211 0.498
O 0.506 0.711 0.002
O 0.556 0.192 0.352
O 0.609 0.078 0.924
O 0.580 0.691 0.697
O 0.559 0.433 0.079
O 0.579 0.175 0.193
O 0.627 0.553 0.425
O 0.582 0.712 0.858
O 0.652 0.460 0.278
O 0.668 0.008 0.595
O 0.663 0.979 0.779
O 0.723 0.322 0.597
O 0.748 0.262 0.808
O 0.752 0.738 0.308
O 0.777 0.678 0.097
O 0.837 0.021 0.279
O 0.832 0.992 0.095
O 0.848 0.540 0.778
O 0.918 0.288 0.358
O 0.941 0.567 0.579
O 0.921 0.825 0.693
O 0.277 0.822 0.903

***

No. 4
## MoP2O7 (GGA-PBEsol)

Data for MoP2O7 after structural relaxation.

Its final energy is -8.039 eV per atom. The formation energy without anion corrections comes out at -2030 meV per atom. The crystal system is cubic.

abc: 8.276 8.276 8.276
angles: 90.00 90.00 90.00
Element x y z (fractional)
P 0.390 0.390 0.390
P 0.110 0.610 0.890
P 0.890 0.110 0.610
P 0.610 0.890 0.110
P 0.610 0.610 0.610
P 0.890 0.390 0.110
P 0.110 0.890 0.390
P 0.390 0.110 0.890
Mo 0.000 0.000 0.000
Mo 0.500 0.000 0.500
Mo 0.500 0.500 0.000
Mo 0.000 0.500 0.500
O 0.500 0.500 0.500
O 0.000 0.500 0.000
O 0.000 0.000 0.500
O 0.500 0.000 0.000
O 0.216 0.084 0.942
O 0.942 0.216 0.084
O 0.084 0.942 0.216
O 0.416 0.058 0.716
O 0.442 0.284 0.916
O 0.916 0.442 0.284
O 0.558 0.784 0.584
O 0.058 0.716 0.416
O 0.584 0.558 0.784
O 0.716 0.416 0.058
O 0.784 0.584 0.558
O 0.284 0.916 0.442
O 0.784 0.916 0.058
O 0.058 0.784 0.916
O 0.916 0.058 0.784
O 0.584 0.942 0.284
O 0.558 0.716 0.084
O 0.084 0.558 0.716
O 0.442 0.216 0.416
O 0.942 0.284 0.584
O 0.416 0.442 0.216
O 0.284 0.584 0.942
O 0.216 0.416 0.442
O 0.716 0.084 0.558

***

No. 5
## MoP2PbO8 (GGA-PBEsol)

Data for MoP2PbO8 after structural relaxation.

Its final energy is -7.790 eV per atom. The formation energy without anion corrections comes out at -2011 meV per atom. The crystal system is monoclinic.

abc: 6.551 10.030 10.030
angles: 90.53 98.34 98.34
Element x y z (fractional)
Mo 0.689 0.725 0.010
Mo 0.189 0.010 0.725
Mo 0.311 0.275 0.990
Mo 0.811 0.990 0.275
P 0.302 0.017 0.209
P 0.538 0.507 0.238
P 0.462 0.493 0.762
P 0.198 0.791 0.983
P 0.962 0.762 0.493
P 0.038 0.238 0.507
P 0.698 0.983 0.791
P 0.802 0.209 0.017
Pb 0.958 0.511 0.742
Pb 0.542 0.258 0.489
Pb 0.458 0.742 0.511
Pb 0.042 0.489 0.258
O 0.670 0.840 0.843
O 0.250 0.132 0.868
O 0.330 0.160 0.157
O 0.170 0.843 0.840
O 0.001 0.706 0.017
O 0.667 0.416 0.327
O 0.333 0.584 0.673
O 0.167 0.327 0.416
O 0.123 0.989 0.290
O 0.833 0.673 0.584
O 0.377 0.710 0.011
O 0.135 0.869 0.573
O 0.250 0.923 0.077
O 0.750 0.868 0.132
O 0.801 0.838 0.406
O 0.582 0.409 0.680
O 0.865 0.131 0.427
O 0.082 0.680 0.409
O 0.999 0.294 0.983
O 0.418 0.591 0.320
O 0.499 0.983 0.294
O 0.365 0.427 0.131
O 0.699 0.594 0.162
O 0.830 0.157 0.160
O 0.199 0.162 0.594
O 0.301 0.406 0.838
O 0.750 0.077 0.923
O 0.877 0.011 0.710
O 0.635 0.573 0.869
O 0.501 0.017 0.706
O 0.918 0.320 0.591
O 0.623 0.290 0.989

***

No. 6
## Rb4Mo5P2O22 (GGA-PBEsol)

Data for Rb4Mo5P2O22 after structural relaxation.

Its final energy is -7.896 eV per atom. The formation energy without anion corrections comes out at -2139 meV per atom. The crystal system is orthorhombic.

abc: 6.521 10.447 17.509
angles: 90.00 90.00 108.19
Element x y z (fractional)
Rb 0.958 0.000 0.500
Rb 0.042 0.000 0.000
Rb 0.298 0.522 0.902
Rb 0.777 0.478 0.098
Rb 0.702 0.478 0.402
Rb 0.223 0.522 0.598
Rb 0.918 0.835 0.750
Rb 0.082 0.165 0.250
Mo 0.712 0.282 0.906
Mo 0.430 0.718 0.094
Mo 0.288 0.718 0.406
Mo 0.570 0.282 0.594
Mo 0.738 0.477 0.750
Mo 0.262 0.523 0.250
Mo 0.480 0.957 0.644
Mo 0.523 0.043 0.356
Mo 0.520 0.043 0.144
Mo 0.477 0.957 0.856
P 0.314 0.186 0.767
P 0.128 0.814 0.233
P 0.686 0.814 0.267
P 0.872 0.186 0.733
O 0.229 0.061 0.815
O 0.168 0.939 0.185
O 0.771 0.939 0.315
O 0.832 0.061 0.685
O 0.393 0.151 0.689
O 0.242 0.849 0.311
O 0.607 0.849 0.189
O 0.758 0.151 0.811
O 0.125 0.251 0.750
O 0.875 0.749 0.250
O 0.482 0.302 0.807
O 0.180 0.698 0.193
O 0.518 0.698 0.307
O 0.820 0.302 0.693
O 0.519 0.105 0.924
O 0.414 0.895 0.076
O 0.481 0.895 0.424
O 0.586 0.105 0.576
O 0.932 0.281 0.959
O 0.651 0.719 0.041
O 0.068 0.719 0.459
O 0.349 0.281 0.541
O 0.588 0.375 0.959
O 0.213 0.625 0.041
O 0.412 0.625 0.459
O 0.787 0.375 0.541
O 0.550 0.420 0.665
O 0.130 0.580 0.335
O 0.450 0.580 0.165
O 0.870 0.420 0.835
O 0.619 0.585 0.791
O 0.034 0.415 0.209
O 0.381 0.415 0.291
O 0.966 0.585 0.709
O 0.584 0.838 0.608
O 0.746 0.162 0.392
O 0.416 0.162 0.108
O 0.254 0.838 0.892
O 0.457 0.914 0.750
O 0.543 0.086 0.250
O 0.213 0.899 0.618
O 0.315 0.101 0.382
O 0.787 0.101 0.118
O 0.685 0.899 0.882

***

Question: final energy of number 5 (MoP2PbO8)?
Answer: -7.790 eV per atom

***

Question: The highest final energy belongs to which entry?
Answer: MoP4O13

***

Question: Which formula does entry 5 have?
Answer: MoP2PbO8